## CuNiSnAu (GGA-PBE)

Data for a relaxed structure of CuNiSnAu.

Computed properties:
energy above the most stable polymorph in this dataset = 0.0 kJ per mole of atoms
magnetization = 0.0 μB/f.u.
DFT total energy = -16.77 eV for the cell shown
calculated volume = 15.47 A^3/atom

Lattice parameters (Å, degrees): 4.440 4.440 4.440 60.00 60.00 60.00
Atoms (fractional coordinates):
Sn 0.000 0.000 0.000
Ni 0.250 0.250 0.250
Cu 0.750 0.750 0.750
Au 0.500 0.500 0.500

***

## CuNiWAu (GGA-PBE)

Data for a relaxed structure of CuNiWAu.

Computed properties:
energy above the most stable polymorph in this dataset = 13.1 kJ per mole of atoms
magnetization = 0.0 μB/f.u.
DFT total energy = -23.86 eV for the cell shown
calculated volume = 14.23 A^3/atom

Lattice parameters (Å, degrees): 4.318 4.318 4.318 60.00 60.00 60.00
Atoms (fractional coordinates):
Au 0.250 0.250 0.250
Cu 0.750 0.750 0.750
W 0.000 0.000 0.000
Ni 0.500 0.500 0.500

***

## CuNiWAu (GGA-PBE)

Data for a relaxed structure of CuNiWAu.

Computed properties:
energy above the most stable polymorph in this dataset = 0.0 kJ per mole of atoms
magnetization = 0.0 μB/f.u.
DFT total energy = -24.41 eV for the cell shown
calculated volume = 13.81 A^3/atom

Lattice parameters (Å, degrees): 4.275 4.275 4.275 60.00 60.00 60.00
Atoms (fractional coordinates):
W 0.000 0.000 0.000
Ni 0.250 0.250 0.250
Au 0.500 0.500 0.500
Cu 0.750 0.750 0.750

***

## CuNiWAu (GGA-PBE)

Data for a relaxed structure of CuNiWAu.

Computed properties:
energy above the most stable polymorph in this dataset = 10.1 kJ per mole of atoms
magnetization = 0.0 μB/f.u.
DFT total energy = -23.99 eV for the cell shown
calculated volume = 14.32 A^3/atom

Lattice parameters (Å, degrees): 4.327 4.327 4.327 60.00 60.00 60.00
Atoms (fractional coordinates):
Ni 0.500 0.500 0.500
Au 0.000 0.000 0.000
W 0.250 0.250 0.250
Cu 0.750 0.750 0.750

***

## NpCuAu (GGA-PBE)

Data for a relaxed structure of NpCuAu.

Computed properties:
magnetization = 4.5 μB/f.u.
DFT total energy = -19.13 eV for the cell shown
calculated volume = 22.06 A^3/atom

Lattice parameters (Å, degrees): 4.540 4.540 4.540 60.00 60.00 60.00
Atoms (fractional coordinates):
Au 0.250 0.250 0.250
Np 0.750 0.750 0.750
Cu 0.000 0.000 0.000

***

## CuSbOsAu (GGA-PBE)

Data for a relaxed structure of CuSbOsAu.

Computed properties:
energy above the most stable polymorph in this dataset = 0.0 kJ per mole of atoms
magnetization = 0.0 μB/f.u.
DFT total energy = -20.53 eV for the cell shown
calculated volume = 16.64 A^3/atom

Lattice parameters (Å, degrees): 4.549 4.549 4.549 60.00 60.00 60.00
Atoms (fractional coordinates):
Cu 0.750 0.750 0.750
Os 0.250 0.250 0.250
Sb 0.000 0.000 0.000
Au 0.500 0.500 0.500

***

## CuSiOsAu (GGA-PBE)

Data for a relaxed structure of CuSiOsAu.

Computed properties:
energy above the most stable polymorph in this dataset = 0.0 kJ per mole of atoms
magnetization = 0.0 μB/f.u.
DFT total energy = -22.43 eV for the cell shown
calculated volume = 14.41 A^3/atom

Lattice parameters (Å, degrees): 4.336 4.336 4.336 60.00 60.00 60.00
Atoms (fractional coordinates):
Au 0.500 0.500 0.500
Si 0.000 0.000 0.000
Cu 0.750 0.750 0.750
Os 0.250 0.250 0.250

***

## TlCuOsAu (GGA-PBE)

Data for a relaxed structure of TlCuOsAu.

Computed properties:
energy above the most stable polymorph in this dataset = 0.0 kJ per mole of atoms
magnetization = 0.0 μB/f.u.
DFT total energy = -17.77 eV for the cell shown
calculated volume = 16.90 A^3/atom

Lattice parameters (Å, degrees): 4.572 4.572 4.572 60.00 60.00 60.00
Atoms (fractional coordinates):
Cu 0.750 0.750 0.750
Tl 0.000 0.000 0.000
Au 0.500 0.500 0.500
Os 0.250 0.250 0.250

***

## CuP5Au3 (GGA-PBE)

Data for a relaxed structure of CuP5Au3.

Computed properties:
DFT total energy = -37.14 eV for the cell shown
calculated volume = 22.97 A^3/atom

Lattice parameters (Å, degrees): 7.163 7.163 4.652 90.00 90.00 120.00
Atoms (fractional coordinates):
P 0.667 0.333 0.772
P 0.000 0.000 0.500
P 0.667 0.333 0.228
P 0.333 0.667 0.772
P 0.333 0.667 0.228
Au 0.500 0.000 0.500
Au 0.000 0.500 0.500
Au 0.500 0.500 0.500
Cu 0.000 0.000 0.000

***

## Rb4CuP2Au (GGA-PBE)

Data for a relaxed structure of Rb4CuP2Au.

Computed properties:
DFT total energy = -24.61 eV for the cell shown
calculated volume = 30.98 A^3/atom

Lattice parameters (Å, degrees): 6.416 6.416 6.327 90.54 90.54 107.90
Atoms (fractional coordinates):
Cu 0.500 0.500 0.500
Rb 0.317 0.975 0.750
Rb 0.975 0.317 0.750
Rb 0.683 0.025 0.250
Rb 0.025 0.683 0.250
Au 0.500 0.500 0.000
P 0.272 0.272 0.266
P 0.728 0.728 0.734

***

## Sr2CuP2Au (GGA-PBE)

Data for a relaxed structure of Sr2CuP2Au.

Computed properties:
DFT total energy = -26.27 eV for the cell shown
calculated volume = 22.32 A^3/atom

Lattice parameters (Å, degrees): 4.252 4.252 8.556 90.00 90.00 120.00
Atoms (fractional coordinates):
P 0.667 0.333 0.000
P 0.000 0.000 0.500
Au 0.000 0.000 0.000
Cu 0.667 0.333 0.500
Sr 0.333 0.667 0.255
Sr 0.333 0.667 0.745

***

## PaCu4Au (GGA-PBE)

Data for a relaxed structure of PaCu4Au.

Computed properties:
magnetization = 0.0 μB/f.u.
DFT total energy = -28.91 eV for the cell shown
calculated volume = 15.13 A^3/atom

Lattice parameters (Å, degrees): 5.044 5.044 5.044 60.00 60.00 60.00
Atoms (fractional coordinates):
Cu 0.626 0.626 0.122
Cu 0.122 0.626 0.626
Cu 0.626 0.626 0.626
Cu 0.626 0.122 0.626
Au 0.000 0.000 0.000
Pa 0.250 0.250 0.250